Entry 1:
# Er3HfCu4 (PBE, optimized geometry)
# - Volume: 19.4 A^3/atom
# - Size of the total moment: 0.00 μB/f.u.
data_Er3HfCu4
_cell_length_a 3.372
_cell_length_b 4.786
_cell_length_c 9.610
_cell_angle_alpha 90.00
_cell_angle_beta 90.00
_cell_angle_gamma 90.00
_symmetry_space_group_name_H-M 'P 1'
_symmetry_Int_Tables_number 1
loop_
_symmetry_equiv_pos_as_xyz
'x,y,z'
loop_
_atom_site_label
_atom_site_type_symbol
_atom_site_fract_x
_atom_site_fract_y
_atom_site_fract_z
Er1 Er 0.000 0.000 0.000
Er2 Er 0.000 0.500 0.252
Er3 Er 0.000 0.500 0.748
Hf1 Hf 0.000 0.000 0.500
Cu1 Cu 0.500 0.000 0.272
Cu2 Cu 0.500 0.000 0.728
Cu3 Cu 0.500 0.500 0.000
Cu4 Cu 0.500 0.500 0.500

=====

Entry 2:
# ErHfCu2 (PBE, optimized geometry)
# - Volume: 18.6 A^3/atom
# - Size of the total moment: 0.01 μB/f.u.
# - Relative energy among the computed polymorphs: 0.0 kJ/mol of atoms
data_ErHfCu2
_cell_length_a 3.343
_cell_length_b 3.343
_cell_length_c 6.674
_cell_angle_alpha 90.00
_cell_angle_beta 90.00
_cell_angle_gamma 90.00
_symmetry_space_group_name_H-M 'P 1'
_symmetry_Int_Tables_number 1
loop_
_symmetry_equiv_pos_as_xyz
'x,y,z'
loop_
_atom_site_label
_atom_site_type_symbol
_atom_site_fract_x
_atom_site_fract_y
_atom_site_fract_z
Er1 Er 0.000 0.000 0.000
Hf1 Hf 0.000 0.000 0.500
Cu1 Cu 0.500 0.500 0.284
Cu2 Cu 0.500 0.500 0.716

=====

Entry 3:
# Er2HfCu6 (PBE, optimized geometry)
# - Volume: 16.8 A^3/atom
# - Size of the total moment: 0.00 μB/f.u.
data_Er2HfCu6
_cell_length_a 7.362
_cell_length_b 7.362
_cell_length_c 3.230
_cell_angle_alpha 90.00
_cell_angle_beta 90.00
_cell_angle_gamma 120.00
_symmetry_space_group_name_H-M 'P 1'
_symmetry_Int_Tables_number 1
loop_
_symmetry_equiv_pos_as_xyz
'x,y,z'
loop_
_atom_site_label
_atom_site_type_symbol
_atom_site_fract_x
_atom_site_fract_y
_atom_site_fract_z
Er1 Er 0.333 0.667 0.000
Er2 Er 0.667 0.333 0.000
Hf1 Hf 0.000 0.000 0.000
Cu1 Cu 0.000 0.329 0.500
Cu2 Cu 0.000 0.671 0.500
Cu3 Cu 0.329 0.000 0.500
Cu4 Cu 0.329 0.329 0.500
Cu5 Cu 0.671 0.000 0.500
Cu6 Cu 0.671 0.671 0.500

=====

Entry 4:
# ErHfCuHg (PBE, optimized geometry)
# - Volume: 21.0 A^3/atom
# - Size of the total moment: 0.77 μB/f.u.
data_ErHfCuHg
_cell_length_a 4.919
_cell_length_b 4.919
_cell_length_c 4.919
_cell_angle_alpha 60.00
_cell_angle_beta 60.00
_cell_angle_gamma 60.00
_symmetry_space_group_name_H-M 'P 1'
_symmetry_Int_Tables_number 1
loop_
_symmetry_equiv_pos_as_xyz
'x,y,z'
loop_
_atom_site_label
_atom_site_type_symbol
_atom_site_fract_x
_atom_site_fract_y
_atom_site_fract_z
Er1 Er 0.000 0.000 0.000
Hf1 Hf 0.500 0.500 0.500
Cu1 Cu 0.750 0.750 0.750
Hg1 Hg 0.250 0.250 0.250

=====

Entry 5:
# ErHfMnCu (PBE, optimized geometry)
# - Volume: 17.5 A^3/atom
# - Size of the total moment: 0.00 μB/f.u.
data_ErHfMnCu
_cell_length_a 4.627
_cell_length_b 4.627
_cell_length_c 4.627
_cell_angle_alpha 60.00
_cell_angle_beta 60.00
_cell_angle_gamma 60.00
_symmetry_space_group_name_H-M 'P 1'
_symmetry_Int_Tables_number 1
loop_
_symmetry_equiv_pos_as_xyz
'x,y,z'
loop_
_atom_site_label
_atom_site_type_symbol
_atom_site_fract_x
_atom_site_fract_y
_atom_site_fract_z
Er1 Er 0.000 0.000 0.000
Hf1 Hf 0.500 0.500 0.500
Mn1 Mn 0.750 0.750 0.750
Cu1 Cu 0.250 0.250 0.250

=====

Entry 6:
# ErHfCuNi (PBE, optimized geometry)
# - Volume: 17.9 A^3/atom
# - Size of the total moment: 0.00 μB/f.u.
data_ErHfCuNi
_cell_length_a 4.660
_cell_length_b 4.660
_cell_length_c 4.660
_cell_angle_alpha 60.00
_cell_angle_beta 60.00
_cell_angle_gamma 60.00
_symmetry_space_group_name_H-M 'P 1'
_symmetry_Int_Tables_number 1
loop_
_symmetry_equiv_pos_as_xyz
'x,y,z'
loop_
_atom_site_label
_atom_site_type_symbol
_atom_site_fract_x
_atom_site_fract_y
_atom_site_fract_z
Er1 Er 0.000 0.000 0.000
Hf1 Hf 0.500 0.500 0.500
Cu1 Cu 0.750 0.750 0.750
Ni1 Ni 0.250 0.250 0.250

=====

Entry 7:
# ErHfCuRe (PBE, optimized geometry)
# - Volume: 18.5 A^3/atom
# - Size of the total moment: 0.00 μB/f.u.
data_ErHfCuRe
_cell_length_a 4.712
_cell_length_b 4.712
_cell_length_c 4.712
_cell_angle_alpha 60.00
_cell_angle_beta 60.00
_cell_angle_gamma 60.00
_symmetry_space_group_name_H-M 'P 1'
_symmetry_Int_Tables_number 1
loop_
_symmetry_equiv_pos_as_xyz
'x,y,z'
loop_
_atom_site_label
_atom_site_type_symbol
_atom_site_fract_x
_atom_site_fract_y
_atom_site_fract_z
Er1 Er 0.000 0.000 0.000
Hf1 Hf 0.500 0.500 0.500
Cu1 Cu 0.250 0.250 0.250
Re1 Re 0.750 0.750 0.750

=====

Entry 8:
# ErHfCuRh (PBE, optimized geometry)
# - Volume: 18.6 A^3/atom
# - Size of the total moment: 0.00 μB/f.u.
data_ErHfCuRh
_cell_length_a 4.719
_cell_length_b 4.719
_cell_length_c 4.719
_cell_angle_alpha 60.00
_cell_angle_beta 60.00
_cell_angle_gamma 60.00
_symmetry_space_group_name_H-M 'P 1'
_symmetry_Int_Tables_number 1
loop_
_symmetry_equiv_pos_as_xyz
'x,y,z'
loop_
_atom_site_label
_atom_site_type_symbol
_atom_site_fract_x
_atom_site_fract_y
_atom_site_fract_z
Er1 Er 0.000 0.000 0.000
Hf1 Hf 0.500 0.500 0.500
Cu1 Cu 0.750 0.750 0.750
Rh1 Rh 0.250 0.250 0.250

=====

Calculated formation energy for every record listed, in sequence, given in eV per atom: -0.208; -0.164; -0.193; -0.099; 0.017; -0.252; -0.133; -0.506.
Mass density for every record listed, in sequence, given in g/cm3: 10.004; 10.525; 9.796; 12.034; 11.003; 10.861; 13.367; 11.444.